(1)
This record from Alexandria describes an optimized crystal structure of La2PbI8. The functional is GGA-PBE.

a = 12.7291 Å, b = 12.7291 Å, c = 9.2048 Å
α = 98.21°, β = 98.21°, γ = 20.36°
Atoms (fractional coordinates):
La: 0.1580 0.1580 0.3358
La: 0.8420 0.8420 0.6642
Pb: 0.5000 0.5000 0.0000
I: 0.0186 0.0186 0.2548
I: 0.2440 0.2440 0.6713
I: 0.3686 0.3686 0.9387
I: 0.3848 0.3848 0.4647
I: 0.6152 0.6152 0.5353
I: 0.6314 0.6314 0.0613
I: 0.7560 0.7560 0.3287
I: 0.9814 0.9814 0.7452

Properties
Electronic total energy = -3.635 eV/atom
ρ = 4.852 g/cm³
E_form (uncorrected) = -14.02 eV/f.u.
Spin magnetization = 0.00 Bohr magnetons per cell

***

(2)
This record from Alexandria describes an optimized crystal structure of LaPbI2. The functional is GGA-PBE.

a = 5.7300 Å, b = 5.7300 Å, c = 5.7300 Å
α = 60.00°, β = 60.00°, γ = 60.00°
Atoms (fractional coordinates):
La: 0.0000 0.0000 0.0000
Pb: 0.5000 0.5000 0.5000
I: 0.2500 0.2500 0.2500
I: 0.7500 0.7500 0.7500

Properties
Electronic total energy = -3.523 eV/atom
ρ = 7.488 g/cm³
E_form (uncorrected) = -2.35 eV/f.u.
Spin magnetization = 0.00 Bohr magnetons per cell
Energy relative to the lowest polymorph listed for this composition = 0.000 eV per atom

***

(3)
This record from Alexandria describes an optimized crystal structure of La4Pb3I. The functional is GGA-PBE.

a = 8.0943 Å, b = 8.0943 Å, c = 8.0943 Å
α = 131.92°, β = 131.92°, γ = 70.35°
Atoms (fractional coordinates):
La: 0.0000 0.5000 0.5000
La: 0.2459 0.2459 0.0000
La: 0.5000 0.0000 0.5000
La: 0.7541 0.7541 0.0000
Pb: 0.0000 0.0000 0.0000
Pb: 0.2500 0.7500 0.5000
Pb: 0.7500 0.2500 0.5000
I: 0.5000 0.5000 0.0000

Properties
Electronic total energy = -4.781 eV/atom
ρ = 7.527 g/cm³
E_form (uncorrected) = -5.86 eV/f.u.
Spin magnetization = 0.00 Bohr magnetons per cell

***

(4)
This record from Alexandria describes an optimized crystal structure of LaPbI2. The functional is GGA-PBE.

a = 11.7954 Å, b = 11.7954 Å, c = 11.7954 Å
α = 19.67°, β = 19.67°, γ = 19.67°
Atoms (fractional coordinates):
La: 0.0000 0.0000 0.0000
Pb: 0.5000 0.5000 0.5000
I: 0.0887 0.0887 0.0887
I: 0.9113 0.9113 0.9113

Properties
Electronic total energy = -3.290 eV/atom
ρ = 6.123 g/cm³
E_form (uncorrected) = -1.42 eV/f.u.
Spin magnetization = 0.00 Bohr magnetons per cell
Energy relative to the lowest polymorph listed for this composition = 0.232 eV per atom